1.
## TaSnH2F (PBE)

Data for a relaxed TaSnH2F crystal.

a = 3.604 Å, b = 3.604 Å, c = 5.957 Å
α = 90.00°, β = 90.00°, γ = 90.00°
Positions (direct):
1 Ta 0.000 0.000 0.000
2 Sn 0.500 0.500 0.500
3 H 0.000 0.500 0.500
4 H 0.500 0.000 0.500
5 F 0.500 0.500 0.000

- total DFT energy (no corrections) (eV/atom) = -4.185

---

2.
## LaPr12Y7 (PBE)

Data for a relaxed LaPr12Y7 crystal.

a = 10.361 Å, b = 10.361 Å, c = 10.361 Å
α = 113.12°, β = 113.12°, γ = 113.12°
Positions (direct):
1 La 0.000 0.000 0.000
2 Pr 0.000 0.287 0.713
3 Pr 0.000 0.713 0.287
4 Pr 0.066 0.406 0.406
5 Pr 0.287 0.000 0.713
6 Pr 0.287 0.713 0.000
7 Pr 0.406 0.066 0.406
8 Pr 0.406 0.406 0.066
9 Pr 0.594 0.594 0.934
10 Pr 0.594 0.934 0.594
11 Pr 0.713 0.000 0.287
12 Pr 0.713 0.287 0.000
13 Pr 0.934 0.594 0.594
14 Y 0.168 0.168 0.500
15 Y 0.168 0.500 0.168
16 Y 0.500 0.168 0.168
17 Y 0.500 0.500 0.500
18 Y 0.500 0.832 0.832
19 Y 0.832 0.500 0.832
20 Y 0.832 0.832 0.500

- energy relative to the elements (meV per atom) = 204
- energy relative to the lowest polymorph listed for this composition (eV/f.u.) = 0.000
- total DFT energy (no corrections) (eV/atom) = -5.172

---

3.
## Ba2TiCr (PBE)

Data for a relaxed Ba2TiCr crystal.

a = 5.420 Å, b = 5.420 Å, c = 5.420 Å
α = 60.00°, β = 60.00°, γ = 60.00°
Positions (direct):
1 Ba 0.250 0.250 0.250
2 Ba 0.750 0.750 0.750
3 Ti 0.000 0.000 0.000
4 Cr 0.500 0.500 0.500

- energy relative to the elements (meV per atom) = 1448
- energy relative to the lowest polymorph listed for this composition (eV/f.u.) = 2.289
- total DFT energy (no corrections) (eV/atom) = -3.893

---

4.
## Ca2HfTiBr (PBE)

Data for a relaxed Ca2HfTiBr crystal.

a = 6.186 Å, b = 6.186 Å, c = 4.695 Å
α = 90.00°, β = 90.00°, γ = 90.00°
Positions (direct):
1 Ca 0.000 0.500 0.000
2 Ca 0.500 0.000 0.000
3 Hf 0.000 0.000 0.000
4 Ti 0.000 0.000 0.500
5 Br 0.500 0.500 0.500

- raw formation energy (eV per atom) = 0.71
- total DFT energy (no corrections) (eV/atom) = -3.997

---

5.
## La2TbY (PBE)

Data for a relaxed La2TbY crystal.

a = 12.048 Å, b = 12.048 Å, c = 12.048 Å
α = 17.49°, β = 17.49°, γ = 17.49°
Positions (direct):
1 La 0.000 0.000 0.000
2 La 0.166 0.166 0.166
3 Tb 0.585 0.585 0.585
4 Y 0.416 0.416 0.416

- energy relative to the elements (meV per atom) = 23
- energy relative to the lowest polymorph listed for this composition (eV/f.u.) = 0.059
- total DFT energy (no corrections) (eV/atom) = -5.214

---

6.
## Nb2CdO (PBE)

Data for a relaxed Nb2CdO crystal.

a = 9.197 Å, b = 9.197 Å, c = 9.197 Å
α = 18.20°, β = 18.20°, γ = 18.20°
Positions (direct):
1 Nb 0.109 0.109 0.109
2 Nb 0.891 0.891 0.891
3 Cd 0.000 0.000 0.000
4 O 0.500 0.500 0.500

- raw formation energy (eV per atom) = -0.39
- energy relative to the lowest polymorph listed for this composition (eV/f.u.) = 0.000
- total DFT energy (no corrections) (eV/atom) = -6.891